! PBE Cu2PbSeO6, optimized geometry; values from VASP
! Magnetization   0.00 μB/f.u.
! D(E_F)   0.617 states/eV per atom
! Calculated total energy   -5.12 eV per atom
! ΔE_f (raw)   -609 meV/atom
&SYSTEM
  ibrav = 0, nat = 20, ntyp = 4
/
ATOMIC_SPECIES
Cu 63.55 Cu.upf
Pb 207.20 Pb.upf
Se 78.96 Se.upf
O 16.00 O.upf
CELL_PARAMETERS angstrom
4.987 -5.055 0.000
4.987 5.055 0.000
-0.656 0.000 5.379
ATOMIC_POSITIONS crystal
Cu 0.134 0.331 0.290
Cu 0.331 0.134 0.790
Cu 0.669 0.866 0.210
Cu 0.866 0.669 0.710
Pb 0.146 0.854 0.250
Pb 0.854 0.146 0.750
Se 0.346 0.654 0.750
Se 0.654 0.346 0.250
O 0.131 0.633 0.886
O 0.134 0.158 0.544
O 0.158 0.134 0.044
O 0.214 0.571 0.428
O 0.367 0.869 0.614
O 0.429 0.786 0.072
O 0.571 0.214 0.928
O 0.633 0.131 0.386
O 0.786 0.429 0.572
O 0.842 0.866 0.956
O 0.866 0.842 0.456
O 0.869 0.367 0.114